4
Lattice="-3.057 2.218 6.660 -6.036 1.230 4.546 -4.033 -1.426 6.350" Properties=species:S:1:pos:R:3 comment="Y2CrCo (PBE, optimized geometry)" energy_ev_per_atom=-7.370 volume_a3_per_atom=22.749 total_magnetization_mub_per_cell=0.00 e_above_lowest_polymorph_ev_per_fu=0.000 formation_enthalpy_0k_ev_per_atom=0.044 pbc="T T T"
Co -5.923 0.912 7.922
Cr -10.472 1.613 14.006
Y -0.404 0.062 0.540
Y -2.891 0.445 3.866